[1]
## Bi (PBE-GGA)

Data for a relaxed Bi crystal.

Results
**Polymorph energy (0 for the lowest one)**: 0.0454 eV/atom
**M_tot**: 0.00 μB/f.u.
**ΔE_f**: 45 meV/atom

The structure in POSCAR format:
```
Bi
1.0
-4.1010 4.7088 -1.7189
-4.0865 -4.5450 -2.7013
-6.1292 -1.2100 11.3081
Bi
16
direct
0.2520 0.4702 0.5334
0.7520 0.0298 0.4666
0.7480 0.9702 0.9666
0.2480 0.5298 0.0334
0.2518 0.9456 0.2456
0.7518 0.5544 0.7544
0.7482 0.4456 0.2544
0.2482 0.0544 0.7456
0.7534 0.5656 0.5037
0.2534 0.9344 0.4963
0.2466 0.0656 0.9963
0.7466 0.4344 0.0037
0.2486 0.4087 0.2823
0.7486 0.0913 0.7177
0.7514 0.9087 0.2177
0.2514 0.5913 0.7823
```

***

[2]
## Y2InTeAs (PBE-GGA)

Data for a relaxed Y2InTeAs crystal.

Results
**Energy relative to the elements, uncorrected**: 258 kJ/mol of formula units
**M_tot**: 0.00 μB/f.u.

The structure in POSCAR format:
```
Y2InTeAs
1.0
6.1688 0.0000 0.0000
0.0000 5.6625 0.0000
0.0000 0.0000 6.1688
Y As Te In
2 1 1 1
direct
0.0000 0.0000 0.5000
0.5000 0.0000 0.0000
0.5000 0.5000 0.5000
0.0000 0.5000 0.0000
0.0000 0.0000 0.0000
```

***

[3]
## NbGeB3 (PBE-GGA)

Data for a relaxed NbGeB3 crystal.

Results
**Polymorph energy (0 for the lowest one)**: 0.0000 eV/atom
**M_tot**: 0.00 μB/f.u.
**ΔE_f**: 1492 meV/atom

The structure in POSCAR format:
```
NbGeB3
1.0
-1.1127 -4.1508 -0.1197
2.7957 -0.8405 3.1558
-3.0704 0.7390 2.9169
Nb B Ge
1 3 1
direct
0.0000 0.0000 0.0000
0.0000 0.5000 0.0000
0.0000 0.0000 0.5000
0.5000 0.0000 0.0000
0.5000 0.5000 0.5000
```

***

[4]
## BaNaUF6 (PBE-GGA)

Data for a relaxed BaNaUF6 crystal.

Results
**Energy relative to the elements, uncorrected**: -2912 kJ/mol of formula units
**M_tot**: 2.96 μB/f.u.

The structure in POSCAR format:
```
BaNaUF6
1.0
6.1432 0.0000 0.0000
-3.0716 5.3201 0.0000
0.0000 0.0000 11.1070
Ba Na U F
2 2 2 12
direct
0.0000 0.0000 0.0000
0.0000 0.0000 0.5000
0.6667 0.3333 0.2500
0.3333 0.6667 0.7500
0.3333 0.6667 0.2500
0.6667 0.3333 0.7500
0.6460 0.6524 0.1396
0.0064 0.3540 0.1396
0.3540 0.0064 0.6396
0.9936 0.6460 0.8604
0.3476 0.3540 0.3604
0.0064 0.6524 0.3604
0.6524 0.0064 0.8604
0.6460 0.9936 0.3604
0.9936 0.3476 0.6396
0.3476 0.9936 0.1396
0.6524 0.6460 0.6396
0.3540 0.3476 0.8604
```

***

[5]
## Cr4Au5 (PBE-GGA)

Data for a relaxed Cr4Au5 crystal.

Results
**M_tot**: 0.03 μB/f.u.
**ΔE_f**: 323 meV/atom

The structure in POSCAR format:
```
Cr4Au5
1.0
-4.8102 4.8102 1.5267
4.8102 -4.8102 1.5267
4.8102 4.8102 -1.5267
Cr Au
4 5
direct
0.6359 0.0000 0.6359
0.3641 0.0000 0.3641
0.0000 0.3641 0.3641
0.0000 0.6359 0.6359
0.0000 0.0000 0.0000
0.6676 0.3324 0.0000
0.3324 0.3324 0.6649
0.6676 0.6676 0.3351
0.3324 0.6676 0.0000
```

***

[6]
## Ac6Sb5P (PBE-GGA)

Data for a relaxed Ac6Sb5P crystal.

Results
**Energy relative to the elements, uncorrected**: -1436 kJ/mol of formula units
**M_tot**: 0.00 μB/f.u.

The structure in POSCAR format:
```
Ac6Sb5P
1.0
8.1064 0.2914 1.2824
1.8988 6.9175 4.0181
0.0885 0.0891 8.2171
Sb Ac P
5 6 1
direct
0.5000 0.1705 0.6591
0.0000 0.3338 0.3323
0.5000 0.5000 0.0000
0.0000 0.6662 0.6677
0.5000 0.8295 0.3409
0.7575 0.0808 0.3206
0.2425 0.5986 0.3206
0.2440 0.2388 0.0000
0.7560 0.7612 0.0000
0.7575 0.4014 0.6794
0.2425 0.9192 0.6794
0.0000 0.0000 0.0000
```

***

[7]
## LiNd8Tl6 (PBE-GGA)

Data for a relaxed LiNd8Tl6 crystal.

Results
**M_tot**: 0.00 μB/f.u.
**ΔE_f**: -154 meV/atom

The structure in POSCAR format:
```
LiNd8Tl6
1.0
-5.8659 -4.7899 -5.3713
-0.5038 -9.2392 0.7650
-6.8374 -4.0400 3.0454
Li Nd Tl
1 8 6
direct
0.0000 0.0000 0.0000
0.5631 0.2157 0.3341
0.7843 0.1129 0.6659
0.1129 0.4369 0.6659
0.6632 0.6632 0.0105
0.3368 0.3368 0.9895
0.8871 0.5631 0.3341
0.2157 0.8871 0.3341
0.4369 0.7843 0.6659
0.3790 0.0529 0.8329
0.9471 0.2649 0.1671
0.2649 0.6210 0.1671
0.7351 0.3790 0.8329
0.0529 0.7351 0.8329
0.6210 0.9471 0.1671
```

***

[8]
## ScRh (PBE-GGA)

Data for a relaxed ScRh crystal.

Results
**M_tot**: 0.00 μB/f.u.
**ΔE_f**: -575 meV/atom

The structure in POSCAR format:
```
ScRh
1.0
5.3116 0.0000 0.0000
0.0000 5.3116 0.0000
0.0000 0.0000 5.2706
Sc Rh
4 4
direct
0.7122 0.2878 0.0000
0.2122 0.2122 0.5000
0.7878 0.7878 0.5000
0.2878 0.7122 0.0000
0.7974 0.7974 0.0000
0.2974 0.7026 0.5000
0.7026 0.2974 0.5000
0.2026 0.2026 0.0000
```

***

> Which value of M_tot does entry 7 give?

0.00 μB/f.u.

***

> Number 2 is which compound?

Y2InTeAs

***

> Look up the M_tot of the eighth one.

0.00 μB/f.u.